# 1
First-principles (PBE) data for an optimized crystal structure of TeIO, as listed in Alexandria via LeMat-Bulk.

Unit cell a=3.1830 b=6.4348 c=4.4965 alpha=90.00 beta=110.38 gamma=90.00
Fractional coordinates of all 3 atoms:
Te  0.0000  0.0000  0.0000
I  0.0461  0.5000  0.0964
O  0.7812  0.0000  0.5560

Output
- Size of the total moment: 0.0 μB per cell
- Symmetry: Pm (6)
- E_tot: -3.438 eV/atom
- Uncorrected formation energy: -0.66 eV per formula unit

=====

# 2
First-principles (PBE) data for an optimized crystal structure of DyPaSn2, as listed in Alexandria via LeMat-Bulk.

Unit cell a=5.8567 b=5.8567 c=5.8567 alpha=50.42 beta=50.42 gamma=50.42
Fractional coordinates of all 4 atoms:
Dy  0.0000  0.0000  0.0000
Pa  0.5000  0.5000  0.5000
Sn  0.2530  0.2530  0.2530
Sn  0.7470  0.7470  0.7470

Output
- Size of the total moment: 0.0 μB per cell
- Symmetry: R-3m (166)
- E_tot: -5.837 eV/atom

=====

# 3
First-principles (PBE) data for an optimized crystal structure of ErLuAlZn, as listed in Alexandria via LeMat-Bulk.

Unit cell a=4.9995 b=4.9995 c=4.9995 alpha=60.00 beta=60.00 gamma=60.00
Fractional coordinates of all 4 atoms:
Er  0.0000  0.0000  0.0000
Lu  0.5000  0.5000  0.5000
Al  0.7500  0.7500  0.7500
Zn  0.2500  0.2500  0.2500

Output
- Size of the total moment: 0.0 μB per cell
- Symmetry: F-43m (216)
- E_tot: -3.895 eV/atom

=====

# 4
First-principles (PBE) data for an optimized crystal structure of SrNbB2Os, as listed in Alexandria via LeMat-Bulk.

Unit cell a=4.5046 b=4.5046 c=4.8747 alpha=90.00 beta=90.00 gamma=90.00
Fractional coordinates of all 5 atoms:
Sr  0.0000  0.0000  0.0000
Nb  0.5000  0.5000  0.5000
B  0.0000  0.5000  0.5000
B  0.5000  0.0000  0.5000
Os  0.5000  0.5000  0.0000

Output
- Size of the total moment: 0.5 μB per cell
- Symmetry: P4/mmm (123)
- E_tot: -6.141 eV/atom

=====

# 5
First-principles (PBE) data for an optimized crystal structure of LaSmTlAu, as listed in Alexandria via LeMat-Bulk.

Unit cell a=3.7421 b=3.7421 c=8.0212 alpha=90.00 beta=90.00 gamma=90.00
Fractional coordinates of all 4 atoms:
La  0.0000  0.0000  0.0000
Sm  0.0000  0.0000  0.5429
Tl  0.5000  0.5000  0.2788
Au  0.5000  0.5000  0.7481

Output
- Size of the total moment: 0.0 μB per cell
- Symmetry: P4mm (99)
- E_tot: -4.419 eV/atom

=====

# 6
First-principles (PBE) data for an optimized crystal structure of Ba2MgUSe6, as listed in Alexandria via LeMat-Bulk.

Unit cell a=7.3569 b=7.6386 c=12.8380 alpha=90.00 beta=124.58 gamma=90.00
Fractional coordinates of all 20 atoms:
Ba  0.2291  0.0654  0.2475
Ba  0.2291  0.4346  0.7475
Ba  0.7709  0.5654  0.2525
Ba  0.7709  0.9346  0.7525
Mg  0.0000  0.0000  0.5000
Mg  0.0000  0.5000  0.0000
U  0.5000  0.0000  0.0000
U  0.5000  0.5000  0.5000
Se  0.1669  0.2022  0.9619
Se  0.1669  0.2978  0.4619
Se  0.2638  0.7066  0.9634
Se  0.2638  0.7934  0.4634
Se  0.3236  0.0067  0.7507
Se  0.3236  0.4933  0.2507
Se  0.6764  0.5067  0.7493
Se  0.6764  0.9933  0.2493
Se  0.7362  0.2066  0.5366
Se  0.7362  0.2934  0.0366
Se  0.8331  0.7022  0.5381
Se  0.8331  0.7978  0.0381

Output
- Size of the total moment: 0.0 μB per cell
- Symmetry: P2_1/c (14)
- E_tot: -5.247 eV/atom
- Uncorrected formation energy: -14.83 eV per formula unit

=====

# 7
First-principles (PBE) data for an optimized crystal structure of SrCu11, as listed in Alexandria via LeMat-Bulk.

Unit cell a=7.8952 b=7.8952 c=7.8952 alpha=100.14 beta=100.14 gamma=130.37
Fractional coordinates of all 24 atoms:
Sr  0.3750  0.6250  0.7500
Sr  0.6250  0.3750  0.2500
Cu  0.0000  0.0000  0.0000
Cu  0.0000  0.0000  0.5000
Cu  0.0000  0.5000  0.0000
Cu  0.1250  0.8750  0.2500
Cu  0.1443  0.5631  0.3325
Cu  0.1443  0.8118  0.5812
Cu  0.1882  0.2693  0.3325
Cu  0.1882  0.8557  0.9188
Cu  0.2693  0.1882  0.8325
Cu  0.2693  0.4369  0.0812
Cu  0.4369  0.2693  0.5812
Cu  0.4369  0.8557  0.1675
Cu  0.5000  0.0000  0.5000
Cu  0.5631  0.1443  0.8325
Cu  0.5631  0.7307  0.4188
Cu  0.7307  0.5631  0.9188
Cu  0.7307  0.8118  0.1675
Cu  0.8118  0.1443  0.0812
Cu  0.8118  0.7307  0.6675
Cu  0.8557  0.1882  0.4188
Cu  0.8557  0.4369  0.6675
Cu  0.8750  0.1250  0.7500

Output
- Size of the total moment: 0.0 μB per cell
- Symmetry: I4_1/amd (141)
- E_tot: -3.920 eV/atom

=====

# 8
First-principles (PBE) data for an optimized crystal structure of PmCd2Pb3, as listed in Alexandria via LeMat-Bulk.

Unit cell a=7.8774 b=7.8774 c=4.6307 alpha=90.00 beta=90.00 gamma=144.42
Fractional coordinates of all 6 atoms:
Pm  0.0000  0.0000  0.0000
Cd  0.3337  0.6663  0.0000
Cd  0.6663  0.3337  0.0000
Pb  0.1700  0.8300  0.5000
Pb  0.5000  0.5000  0.5000
Pb  0.8300  0.1700  0.5000

Output
- Size of the total moment: 0.0 μB per cell
- Symmetry: Cmmm (65)
- E_tot: -3.149 eV/atom

=====

# 9
First-principles (PBE) data for an optimized crystal structure of Ti3AlNi12, as listed in Alexandria via LeMat-Bulk.

Unit cell a=5.0904 b=5.0904 c=8.2935 alpha=90.00 beta=90.00 gamma=120.00
Fractional coordinates of all 16 atoms:
Ti  0.0000  0.0000  0.0000
Ti  0.6667  0.3333  0.2482
Ti  0.6667  0.3333  0.7518
Al  0.3333  0.6667  0.5000
Ni  0.0114  0.5057  0.0000
Ni  0.1667  0.3335  0.2506
Ni  0.1667  0.3335  0.7494
Ni  0.1667  0.8333  0.2506
Ni  0.1667  0.8333  0.7494
Ni  0.3235  0.1617  0.5000
Ni  0.4943  0.5057  0.0000
Ni  0.4943  0.9886  0.0000
Ni  0.6665  0.8333  0.2506
Ni  0.6665  0.8333  0.7494
Ni  0.8383  0.1617  0.5000
Ni  0.8383  0.6765  0.5000

Output
- Size of the total moment: 0.0 μB per cell
- Symmetry: P-6m2 (187)
- E_tot: -6.523 eV/atom

=====

# 10
First-principles (PBE) data for an optimized crystal structure of BaLi3Ru, as listed in Alexandria via LeMat-Bulk.

Unit cell a=4.8257 b=4.8257 c=4.8257 alpha=90.00 beta=90.00 gamma=90.00
Fractional coordinates of all 5 atoms:
Ba  0.0000  0.0000  0.0000
Li  0.0000  0.0000  0.5000
Li  0.0000  0.5000  0.0000
Li  0.5000  0.0000  0.0000
Ru  0.5000  0.5000  0.5000

Output
- Size of the total moment: 0.0 μB per cell
- Symmetry: Pm-3m (221)
- E_tot: -1.758 eV/atom

=====

# 11
First-principles (PBE) data for an optimized crystal structure of Sr2LiMg6Al, as listed in Alexandria via LeMat-Bulk.

Unit cell a=7.3817 b=7.3817 c=7.3817 alpha=121.32 beta=118.36 gamma=90.29
Fractional coordinates of all 10 atoms:
Sr  0.2063  0.2063  0.0000
Sr  0.7937  0.7937  0.0000
Li  0.5000  0.0000  0.5000
Mg  0.2591  0.7591  0.5000
Mg  0.2967  0.2843  0.5810
Mg  0.2967  0.7157  0.0124
Mg  0.7033  0.2843  0.9876
Mg  0.7033  0.7157  0.4190
Mg  0.7409  0.2409  0.5000
Al  0.0000  0.5000  0.5000

Output
- Size of the total moment: 0.0 μB per cell
- Symmetry: Immm (71)
- E_tot: -1.800 eV/atom

=====

# 12
First-principles (PBE) data for an optimized crystal structure of AcHoGeRh, as listed in Alexandria via LeMat-Bulk.

Unit cell a=5.1825 b=5.1825 c=5.1825 alpha=60.00 beta=60.00 gamma=60.00
Fractional coordinates of all 4 atoms:
Ac  0.0000  0.0000  0.0000
Ho  0.5000  0.5000  0.5000
Ge  0.2500  0.2500  0.2500
Rh  0.7500  0.7500  0.7500

Output
- Size of the total moment: 0.0 μB per cell
- Symmetry: F-43m (216)
- E_tot: -5.714 eV/atom

=====

For the records above, the corresponding V values read 28.8; 27.5; 22.1; 19.8; 28.1; 29.7; 14.2; 27.9; 11.6; 22.5; 28.5; 24.6 Å³ per atom.